No. 1
PaTl2PbBr8 | PBE | relaxed

Computed properties:
* formation energy without anion corrections: -1.119 eV/atom

a = 7.2250 Å, b = 9.0649 Å, c = 7.6503 Å
α = 90.00°, β = 92.42°, γ = 90.00°
Closest atoms and distances in Å follow each position.
Space group P2/m (No. 10)
Asymmetric unit:
1 Pa 0.0000 0.0000 0.0000 [1 per cell]  6 Br 2.77-2.85
2 Tl 0.5000 0.2566 0.5000 [2 per cell]  4 Br 3.15-3.43
3 Pb 0.0000 0.5000 0.0000 [1 per cell]  6 Br 2.98-3.14
4 Br 0.2017 0.0000 0.3158 [2 per cell]  1 Pa 2.77
5 Br 0.2282 0.2290 0.8726 [4 per cell]  1 Pa 2.85, 1 Pb 3.14
6 Br 0.2423 0.5000 0.3257 [2 per cell]  1 Pb 2.98, 2 Tl 3.15

No. 2
PaPd2Br | PBE | relaxed

Computed properties:
* formation energy without anion corrections: -0.317 eV/atom

a = 3.8107 Å, b = 3.8107 Å, c = 25.3289 Å
α = 90.00°, β = 90.00°, γ = 120.00°
Closest atoms and distances in Å follow each position.
Space group R-3m (No. 166, hexagonal axes)
Asymmetric unit:
1 Pa 0.0000 0.0000 0.0000 [3 per cell]  6 Pd 2.78
2 Pd 0.0000 0.0000 0.4002 [6 per cell]  1 Br 2.53, 3 Pa 2.78
3 Br 0.0000 0.0000 0.5000 [3 per cell]  2 Pd 2.53

No. 3
PaPdBr | PBE | relaxed

Computed properties:
* formation energy without anion corrections: -0.500 eV/atom

a = 12.5350 Å, b = 12.7262 Å, c = 8.1361 Å
α = 90.00°, β = 90.00°, γ = 90.00°
Closest atoms and distances in Å follow each position.
Space group Fdd2 (No. 43)
Asymmetric unit:
1 Pa 0.0107 0.2997 0.0000 [16 per cell]  4 Pd 2.75-2.94, 2 Br 2.96
2 Pd 0.1096 0.0088 0.4850 [16 per cell]  4 Pa 2.75-2.94, 1 Pd 2.76
3 Br 0.1128 0.0809 0.0527 [16 per cell]  3 Pa 2.96-3.09

No. 4
PmPaBr | PBE | relaxed

Computed properties:
* formation energy without anion corrections: 0.064 eV/atom

a = 3.3682 Å, b = 5.1426 Å, c = 12.9863 Å
α = 90.00°, β = 90.00°, γ = 90.00°
Closest atoms and distances in Å follow each position.
Space group Pmmn (No. 59, origin choice 2)
Asymmetric unit:
1 Pm 0.2500 0.2500 0.0586 [2 per cell]  2 Pa 3.16, 6 Pm 3.37-3.43
2 Pa 0.2500 0.7500 0.1997 [2 per cell]  2 Br 2.88, 2 Pm 3.16
3 Br 0.2500 0.2500 0.6206 [2 per cell]  2 Pa 2.88

No. 5
PmPaBr2 | PBE | relaxed

Computed properties:
* formation energy without anion corrections: -0.736 eV/atom

a = 3.5092 Å, b = 3.5092 Å, c = 31.1264 Å
α = 90.00°, β = 90.00°, γ = 120.00°
Closest atoms and distances in Å follow each position.
Space group R-3m (No. 166, hexagonal axes)
Asymmetric unit:
1 Pm 0.0000 0.0000 0.0000 [3 per cell]  6 Br 3.00
2 Pa 0.0000 0.0000 0.5000 [3 per cell]  2 Br 2.97
3 Br 0.0000 0.0000 0.4045 [6 per cell]  1 Pa 2.97, 3 Pm 3.00

No. 6
PmPaBr6 | PBE | relaxed

Computed properties:
* formation energy without anion corrections: -1.547 eV/atom

a = 7.1214 Å, b = 13.5375 Å, c = 7.1162 Å
α = 90.00°, β = 109.15°, γ = 90.00°
Closest atoms and distances in Å follow each position.
Space group C2/m (No. 12)
Asymmetric unit:
1 Pm 0.0000 0.0000 0.0000 [2 per cell]  6 Br 2.91-2.93
2 Pa 0.0000 0.5000 0.5000 [2 per cell]  6 Br 2.87-2.88
3 Br 0.2460 0.3499 0.7492 [8 per cell]  1 Pa 2.88, 1 Pm 2.91
4 Br 0.2498 0.0000 0.7454 [4 per cell]  1 Pa 2.87, 1 Pm 2.93

No. 7
PrPaBr | PBE | relaxed

Computed properties:
* formation energy without anion corrections: -0.549 eV/atom

a = 3.5347 Å, b = 4.9117 Å, c = 10.4688 Å
α = 90.00°, β = 92.18°, γ = 90.00°
Closest atoms and distances in Å follow each position.
Space group Pm (No. 6)
Asymmetric unit:
1 Pr 0.0000 0.0000 0.0000 [1 per cell]  2 Br 3.05, 1 Pa 3.39
2 Pr 0.0379 0.5000 0.5263 [1 per cell]  5 Br 3.10-3.16, 1 Pa 3.30
3 Pa 0.4288 0.0000 0.2954 [1 per cell]  2 Pa 2.80
4 Pa 0.7364 0.5000 0.2239 [1 per cell]  2 Pa 2.80
5 Br 0.0622 0.5000 0.8286 [1 per cell]  3 Pr 3.05-3.16
6 Br 0.5381 0.0000 0.5980 [1 per cell]  4 Pr 3.10-3.13, 1 Pa 3.18

No. 8
PaPtBr | PBE | relaxed

Computed properties:
* formation energy without anion corrections: -0.887 eV/atom

a = 5.1629 Å, b = 4.4133 Å, c = 7.5233 Å
α = 90.00°, β = 106.79°, γ = 90.00°
Closest atoms and distances in Å follow each position.
Space group P2_1/m (No. 11)
Asymmetric unit:
1 Pa 0.0700 0.2500 0.3108 [2 per cell]  4 Pt 2.74-2.99, 2 Br 3.04
2 Pt 0.3302 0.7500 0.5157 [2 per cell]  4 Pa 2.74-2.99, 2 Pt 2.87
3 Br 0.2283 0.2500 0.9450 [2 per cell]  3 Pa 3.04-3.09

No. 9
PuPaBr6 | PBE | relaxed

Computed properties:
* formation energy without anion corrections: -1.455 eV/atom

a = 7.2163 Å, b = 13.0030 Å, c = 7.2051 Å
α = 90.00°, β = 106.89°, γ = 90.00°
Closest atoms and distances in Å follow each position.
Space group C2/m (No. 12)
Asymmetric unit:
1 Pu 0.0000 0.0000 0.0000 [2 per cell]  6 Br 2.96
2 Pa 0.0000 0.5000 0.5000 [2 per cell]  6 Br 2.83-2.86
3 Br 0.2409 0.3491 0.7434 [8 per cell]  1 Pa 2.86, 1 Pu 2.96
4 Br 0.2459 0.5000 0.2568 [4 per cell]  1 Pa 2.83, 1 Pu 2.96

No. 10
PuPaBr5 | PBE | relaxed

Computed properties:
* formation energy without anion corrections: -1.403 eV/atom

a = 8.6792 Å, b = 3.9766 Å, c = 13.8396 Å
α = 90.00°, β = 96.09°, γ = 90.00°
Closest atoms and distances in Å follow each position.
Space group P2_1/m (No. 11)
Asymmetric unit:
1 Pu 0.1028 0.2500 0.1450 [2 per cell]  7 Br 2.99-3.04
2 Pa 0.4170 0.7500 0.3414 [2 per cell]  7 Br 2.92-3.13
3 Br 0.0748 0.7500 0.3071 [2 per cell]  1 Pa 2.96, 2 Pu 3.03
4 Br 0.1412 0.2500 0.9289 [2 per cell]  3 Pu 3.00-3.04
5 Br 0.3196 0.2500 0.4860 [2 per cell]  3 Pa 3.00-3.13
6 Br 0.3562 0.7500 0.1279 [2 per cell]  1 Pa 2.95, 2 Pu 2.99
7 Br 0.3606 0.7500 0.7111 [2 per cell]  2 Pa 2.92

No. 11
Rb2PaBr8 | PBE | relaxed

Computed properties:
* formation energy without anion corrections: -1.384 eV/atom

a = 14.7805 Å, b = 11.1900 Å, c = 6.7256 Å
α = 90.00°, β = 113.94°, γ = 90.00°
Closest atoms and distances in Å follow each position.
Space group C2/m (No. 12)
Asymmetric unit:
1 Rb 0.1664 0.0000 0.3248 [4 per cell]  6 Br 3.45-3.72
2 Pa 0.0000 0.5000 0.5000 [2 per cell]  6 Br 2.71-2.73
3 Br 0.0751 0.0000 0.7218 [4 per cell]  1 Br 2.91
4 Br 0.1010 0.3291 0.3827 [8 per cell]  1 Pa 2.73
5 Br 0.1478 0.5000 0.9038 [4 per cell]  1 Pa 2.71

No. 12
RbPaBr6 | PBE | relaxed

Computed properties:
* formation energy without anion corrections: -1.553 eV/atom

a = 8.5332 Å, b = 11.8113 Å, c = 7.1178 Å
α = 90.00°, β = 105.13°, γ = 90.00°
Closest atoms and distances in Å follow each position.
Space group C2/m (No. 12)
Asymmetric unit:
1 Rb 0.0000 0.0000 0.0000 [2 per cell]  6 Br 3.63-3.64
2 Pa 0.0000 0.5000 0.5000 [2 per cell]  6 Br 2.72
3 Br 0.1397 0.3380 0.7631 [8 per cell]  1 Pa 2.72
4 Br 0.2313 0.0000 0.6375 [4 per cell]  1 Pa 2.72

> Among the records above, which one has the lowest formation energy without anion corrections?

RbPaBr6

> Which formula does entry 4 have?

PmPaBr

> Which value of formation energy without anion corrections does entry 9 give?

-1.455 eV/atom

> Number 3 is which compound?

PaPdBr